(1)
This record from Alexandria describes a relaxed TaNiBr4 crystal. The functional is PBE-GGA. Values from VASP.

```
&SYSTEM
  ibrav = 0, nat = 6, ntyp = 3
/
ATOMIC_SPECIES
Ta 180.95 Ta.upf
Br 79.90 Br.upf
Ni 58.69 Ni.upf
ATOMIC_POSITIONS angstrom
Ta 0.0000 0.0000 0.0000
Br 5.2812 3.1696 5.2812
Br 5.2812 5.2812 3.1696
Br 3.1696 5.2812 5.2812
Br 3.1696 3.1696 3.1696
Ni 6.3381 6.3381 6.3381
CELL_PARAMETERS angstrom
0.0000 4.2254 4.2254
4.2254 0.0000 4.2254
4.2254 4.2254 0.0000
```

Summary:
E_form (uncorrected): 1.596 eV per atom
Crystal system: cubic
Final energy: -2.458 eV per atom
Total moment: 0.3182 μB/atom

(2)
This record from Alexandria describes a relaxed TaNiBr2 crystal. The functional is PBE-GGA. Values from VASP.

```
&SYSTEM
  ibrav = 0, nat = 4, ntyp = 3
/
ATOMIC_SPECIES
Br 79.90 Br.upf
Ta 180.95 Ta.upf
Ni 58.69 Ni.upf
ATOMIC_POSITIONS angstrom
Br -5.5106 5.7418 3.8836
Br -2.4519 2.6310 -0.2028
Ta -5.8538 3.9517 2.0129
Ni -3.3205 3.2868 2.3260
CELL_PARAMETERS angstrom
-1.7262 0.2277 -2.7860
-2.7251 -1.1484 1.5945
-3.4392 7.3018 2.7277
```

Summary:
E_form (uncorrected): -0.251 eV per atom
Offset from the most stable computed form: 0 meV/atom
Crystal system: monoclinic
Final energy: -5.496 eV per atom
Total moment: 0.1084 μB/atom

(3)
This record from Alexandria describes a relaxed TaNiBr crystal. The functional is PBE-GGA. Values from VASP.

```
&SYSTEM
  ibrav = 0, nat = 3, ntyp = 3
/
ATOMIC_SPECIES
Ta 180.95 Ta.upf
Br 79.90 Br.upf
Ni 58.69 Ni.upf
ATOMIC_POSITIONS angstrom
Ta -2.1583 -0.9971 4.2573
Br -0.4531 -2.3402 5.9408
Ni -1.6860 -2.2838 2.2974
CELL_PARAMETERS angstrom
-2.2164 2.4285 0.7876
-1.0930 -2.9474 -1.2444
-0.4940 -2.5511 6.4761
```

Summary:
E_form (uncorrected): 0.120 eV per atom
Offset from the most stable computed form: 0 meV/atom
Crystal system: trigonal
Final energy: -6.316 eV per atom
Total moment: 0.0000 μB/atom

(4)
This record from Alexandria describes a relaxed Ta2NiBr crystal. The functional is PBE-GGA. Values from VASP.

```
&SYSTEM
  ibrav = 0, nat = 4, ntyp = 3
/
ATOMIC_SPECIES
Ta 180.95 Ta.upf
Br 79.90 Br.upf
Ni 58.69 Ni.upf
ATOMIC_POSITIONS angstrom
Ta -2.1577 -5.0040 1.5059
Ta -2.4992 -2.5411 0.5729
Br -1.5217 -0.5386 2.1618
Ni -4.0469 -2.9798 2.6952
CELL_PARAMETERS angstrom
-0.5180 1.3640 3.7903
-2.9189 0.2215 -0.4786
-2.1317 -5.1039 1.5454
```

Summary:
E_form (uncorrected): 0.458 eV per atom
Offset from the most stable computed form: 262 meV/atom
Crystal system: monoclinic
Final energy: -7.332 eV per atom
Total moment: 0.0000 μB/atom

(5)
This record from Alexandria describes a relaxed TaNiBr2 crystal. The functional is PBE-GGA. Values from VASP.

```
&SYSTEM
  ibrav = 0, nat = 4, ntyp = 3
/
ATOMIC_SPECIES
Ni 58.69 Ni.upf
Br 79.90 Br.upf
Ta 180.95 Ta.upf
ATOMIC_POSITIONS angstrom
Ni 3.6564 0.0052 2.6320
Br 2.1436 0.0412 0.6077
Br 6.0039 0.1153 1.7020
Ta -0.4173 -0.0730 1.4772
CELL_PARAMETERS angstrom
-0.5091 2.9116 1.5987
-0.3256 -3.0576 1.3556
8.1475 0.1564 2.3096
```

Summary:
E_form (uncorrected): 0.525 eV per atom
Offset from the most stable computed form: 776 meV/atom
Crystal system: orthorhombic
Final energy: -4.720 eV per atom
Total moment: 0.0274 μB/atom

(6)
This record from Alexandria describes a relaxed TaNiBr crystal. The functional is PBE-GGA. Values from VASP.

```
&SYSTEM
  ibrav = 0, nat = 3, ntyp = 3
/
ATOMIC_SPECIES
Br 79.90 Br.upf
Ta 180.95 Ta.upf
Ni 58.69 Ni.upf
ATOMIC_POSITIONS angstrom
Br -7.4228 10.4630 2.7529
Ta -1.8286 4.1509 2.7070
Ni -5.1940 7.9482 2.7346
CELL_PARAMETERS angstrom
-2.8709 6.3067 0.6863
-4.8748 4.5206 2.0693
1.0459 0.9075 2.6834
```

Summary:
E_form (uncorrected): 0.267 eV per atom
Offset from the most stable computed form: 147 meV/atom
Crystal system: tetragonal
Final energy: -6.168 eV per atom
Total moment: 0.0000 μB/atom

(7)
This record from Alexandria describes a relaxed Ta2NiBr crystal. The functional is PBE-GGA. Values from VASP.

```
&SYSTEM
  ibrav = 0, nat = 4, ntyp = 3
/
ATOMIC_SPECIES
Ta 180.95 Ta.upf
Ni 58.69 Ni.upf
Br 79.90 Br.upf
ATOMIC_POSITIONS angstrom
Ta -2.8570 8.3665 -3.1030
Ta -1.7996 8.4142 -0.0240
Ni -0.6324 2.6842 -0.1759
Br -1.1471 5.8496 0.2831
CELL_PARAMETERS angstrom
-0.0910 4.4294 -2.1800
-2.8499 3.8421 -1.2234
0.6108 3.0906 3.6592
```

Summary:
E_form (uncorrected): 0.407 eV per atom
Offset from the most stable computed form: 211 meV/atom
Crystal system: monoclinic
Final energy: -7.383 eV per atom
Total moment: 0.0000 μB/atom

(8)
This record from Alexandria describes a relaxed Ta2NiBr2 crystal. The functional is PBE-GGA. Values from VASP.

```
&SYSTEM
  ibrav = 0, nat = 5, ntyp = 3
/
ATOMIC_SPECIES
Br 79.90 Br.upf
Ta 180.95 Ta.upf
Ni 58.69 Ni.upf
ATOMIC_POSITIONS angstrom
Br 0.0000 0.0000 8.4948
Br 0.0000 0.0000 5.3619
Ta 1.9583 0.0000 3.4642
Ta 0.0000 1.9583 3.4642
Ni 0.0000 0.0000 0.0000
CELL_PARAMETERS angstrom
-1.9583 1.9583 6.9284
1.9583 -1.9583 6.9284
1.9583 1.9583 -6.9284
```

Summary:
E_form (uncorrected): 0.910 eV per atom
Crystal system: tetragonal
Final energy: -5.657 eV per atom
Total moment: 0.0149 μB/atom

Q: Look up the final energy of the first one.
A: -2.458 eV per atom